Computed, not measured: a relaxed structure of SrDy2Cd3 at the PBE level of DFT.

abc: 3.814 3.814 11.662
angles: 90.00 90.00 90.00
Element x y z (fractional)
Cd1 0.000 0.000 0.000
Dy1 0.500 0.500 0.843
Cd2 0.000 0.000 0.693
Cd3 0.000 0.000 0.307
Dy2 0.500 0.500 0.157
Sr1 0.500 0.500 0.500

Symmetry = P4/mmm (123)
Energy of formation = -1.9 eV/f.u.
Final energy = -2.590 eV/atom